(1)
Below is AcPmIrAu after structural relaxation, with properties calculated at the PBE-GGA level.

```
4
Lattice="4.3236 0.0000 0.0000 0.0000 4.3123 0.2547 0.0000 -0.3623 6.0524" Properties=species:S:1:pos:R:3 pbc="T T T"
Ac 0.0000 3.6329 3.8104
Pm 2.1618 1.6525 0.6638
Ir 2.1618 1.4758 3.6867
Au 0.0000 3.8083 0.7832
```

Values from the calculation:
Space group: Pm
DFT formation energy: -0.611 eV per atom
Electronic total energy: -5.86 eV per atom

***

(2)
Below is AcPrIrAu after structural relaxation, with properties calculated at the PBE-GGA level.

```
4
Lattice="4.3523 0.0000 0.0000 0.0000 4.3442 0.2554 0.0000 -0.3682 6.0872" Properties=species:S:1:pos:R:3 pbc="T T T"
Ac 2.1762 1.6645 0.6648
Pr 0.0000 3.6568 3.8295
Ir 0.0000 3.8373 0.7899
Au 2.1762 1.4845 3.7093
```

Values from the calculation:
Space group: Pm
DFT formation energy: -0.602 eV per atom
Electronic total energy: -5.86 eV per atom

***

(3)
Below is AcPrIrAu after structural relaxation, with properties calculated at the PBE-GGA level.

```
4
Lattice="5.2758 0.0000 0.0000 2.6379 4.5690 0.0000 2.6379 1.5230 4.3077" Properties=species:S:1:pos:R:3 pbc="T T T"
Pr 7.9137 4.5690 3.2307
Ac 2.6379 1.5230 1.0769
Ir 5.2758 3.0460 2.1538
Au 0.0000 0.0000 0.0000
```

Values from the calculation:
Space group: F-43m
DFT formation energy: -0.607 eV per atom
Electronic total energy: -5.86 eV per atom

***

(4)
Below is Ac6Ir2PtAu3 after structural relaxation, with properties calculated at the PBE-GGA level.

```
12
Lattice="7.6431 0.0046 0.0021 -3.8157 6.6225 0.0021 -1.2745 -2.2067 7.4231" Properties=species:S:1:pos:R:3 pbc="T T T"
Ac 3.8526 2.1618 5.7613
Ac 2.5237 4.3697 1.6433
Ac -1.2997 2.2585 1.6661
Ac -0.0529 4.4174 5.7613
Ac 0.0292 0.0506 5.7841
Ac 2.6058 0.0030 1.6661
Ir -0.0030 4.4204 0.0021
Ir 3.8303 2.2066 0.0021
Pt 0.0000 0.0000 0.0000
Au -2.5896 4.4429 3.7137
Au 5.1425 -0.0226 3.7137
Au 1.2765 2.2102 3.7137
```

Values from the calculation:
Space group: C2/m
DFT formation energy: -0.858 eV per atom
Electronic total energy: -5.71 eV per atom

***

(5)
Below is Ac8IrPt3Au4 after structural relaxation, with properties calculated at the PBE-GGA level.

```
16
Lattice="8.8785 0.0000 0.0000 0.0000 9.0094 0.0855 -4.4392 -4.4349 6.2817" Properties=species:S:1:pos:R:3 pbc="T T T"
Ac -2.2594 2.1759 6.2712
Ac 0.0000 4.4342 3.0728
Ac 0.0000 0.1489 3.2414
Ac 2.2594 2.1759 6.2712
Ac 2.1799 2.3986 0.0960
Ac 4.4392 4.4256 3.1257
Ac 4.4392 0.1403 3.2944
Ac 6.6986 2.3986 0.0960
Ir 0.0000 4.5047 0.0427
Pt 4.4392 4.5047 0.0427
Pt 2.2196 2.2872 3.1836
Pt -2.2196 2.2872 3.1836
Au 4.4392 0.0000 0.0000
Au 2.2196 -2.2174 3.1409
Au 0.0000 0.0000 0.0000
Au -2.2196 -2.2174 3.1409
```

Values from the calculation:
Space group: R-3m
DFT formation energy: -0.958 eV per atom
Electronic total energy: -5.52 eV per atom

***

(6)
Below is Ac6IrPt2Au after structural relaxation, with properties calculated at the PBE-GGA level.

```
10
Lattice="7.6950 0.0022 0.0012 3.8494 6.6634 -0.0012 3.8486 2.2203 7.1008" Properties=species:S:1:pos:R:3 pbc="T T T"
Ac 6.4128 2.1779 1.7182
Ac 6.3748 6.6847 1.7137
Ac 10.3011 4.4670 1.7171
Ac 8.8036 6.5330 5.3880
Ac 8.9549 2.4387 5.3865
Ac 5.3327 4.3561 5.3888
Ir 3.8489 2.2208 0.1635
Pt 7.6965 4.4436 3.3771
Pt 3.8476 2.2212 7.0181
Au 11.5440 6.6647 3.7408
```

Values from the calculation:
Space group: R3
DFT formation energy: -0.799 eV per atom
Electronic total energy: -5.69 eV per atom

***

(7)
Below is Ac6IrPtAu2 after structural relaxation, with properties calculated at the PBE-GGA level.

```
10
Lattice="-2.1877 -7.4983 -0.4647 4.7946 -5.6369 2.5399 -1.9972 -3.9406 7.0791" Properties=species:S:1:pos:R:3 pbc="T T T"
Ac -0.7586 -6.5942 2.0804
Ac 3.5565 -7.9486 4.1088
Ac 0.2189 -11.3927 2.8507
Ac 0.9091 -10.2805 6.9904
Ac -2.6294 -8.8243 5.3016
Ac 0.3802 -6.1641 6.4707
Ir 0.8063 -4.3691 0.8316
Pt 1.1150 -12.9080 5.4002
Au 0.4230 -8.5555 4.3126
Au -1.8848 -3.9563 6.8302
```

Values from the calculation:
Space group: R3
DFT formation energy: -0.706 eV per atom
Electronic total energy: -5.32 eV per atom

***

(8)
Below is Ac8Ir3PtAu3 after structural relaxation, with properties calculated at the PBE-GGA level.

```
15
Lattice="8.8079 0.0000 0.0000 -4.4039 7.6272 -0.0269 0.0000 -5.0587 7.4002" Properties=species:S:1:pos:R:3 pbc="T T T"
Ac 0.0000 2.5450 2.0458
Ac 4.4039 0.0235 5.3274
Ac 4.4039 2.5294 2.0493
Ac 0.0000 0.0391 5.3239
Ac 6.5878 -1.2535 2.0630
Ac -2.1839 3.8220 5.3103
Ac 2.2200 -1.2535 2.0630
Ac 2.1839 3.8220 5.3103
Ir 4.4039 -2.5293 3.7001
Ir 2.2020 1.2842 3.6866
Ir -2.2020 1.2842 3.6866
Pt 0.0000 -2.5293 3.7001
Au 0.0000 0.0000 0.0000
Au -2.2020 3.8136 -0.0135
Au 2.2020 3.8136 -0.0135
```

Values from the calculation:
Space group: R-3m
DFT formation energy: -0.800 eV per atom
Electronic total energy: -5.82 eV per atom

***

(9)
Below is Ac4IrPtAu2 after structural relaxation, with properties calculated at the PBE-GGA level.

```
8
Lattice="-2.2189 3.4159 -1.7147 2.0029 -2.2407 -7.0554 -6.7824 -3.4362 1.9312" Properties=species:S:1:pos:R:3 pbc="T T T"
Ac -2.1609 0.4080 -2.0863
Ac -4.8373 -2.6690 -4.7527
Ac -4.7401 -3.2201 -0.2810
Ac -0.0393 -2.4567 -4.8432
Ir 0.0000 0.0000 0.0000
Pt -0.1080 0.5876 -4.3851
Au -4.5006 -0.0101 0.1082
Au -2.3897 -2.8384 -2.5621
```

Values from the calculation:
Space group: P2/m
DFT formation energy: -0.901 eV per atom
Electronic total energy: -5.64 eV per atom

***

(10)
Below is Ac3IrPtAu after structural relaxation, with properties calculated at the PBE-GGA level.

```
12
Lattice="4.4025 0.0000 0.0000 0.0000 8.6573 -0.3719 0.0000 -3.7312 9.6110" Properties=species:S:1:pos:R:3 pbc="T T T"
Ac 1.1006 4.3580 4.4321
Ac 3.3019 7.5013 0.9361
Ac 3.3019 3.5359 1.2057
Ac 3.3019 0.5681 4.8070
Ac 1.1006 1.3902 8.0334
Ac 1.1006 -2.5752 8.3029
Ir 1.1006 5.5821 1.4984
Ir 3.3019 -0.6560 7.7407
Pt 1.1006 -1.3103 5.6269
Pt 3.3019 6.2365 3.6121
Au 3.3019 3.6320 6.9437
Au 1.1006 1.2941 2.2954
```

Values from the calculation:
Space group: P2_1/m
DFT formation energy: -0.716 eV per atom
Electronic total energy: -5.80 eV per atom

***

(11)
Below is Ac6Ir2PtAu after structural relaxation, with properties calculated at the PBE-GGA level.

```
10
Lattice="-3.3717 5.0016 -4.7890 -7.3740 1.9546 1.0452 -1.5993 7.5977 2.8699" Properties=species:S:1:pos:R:3 pbc="T T T"
Ac -4.2441 5.3634 -1.9534
Ac -7.8844 4.8409 0.4666
Ac -7.9147 7.5564 -3.0004
Ac -7.9451 9.0747 1.0731
Ac -4.6125 9.6338 -1.2489
Ac -4.4747 7.0825 1.9564
Ir -6.2266 7.1328 -0.5495
Ir -1.6288 7.5184 2.8101
Pt -3.5173 2.4938 -1.1122
Au -9.6647 9.8341 -1.5007
```

Values from the calculation:
Space group: R3
DFT formation energy: -0.717 eV per atom
Electronic total energy: -5.89 eV per atom

***

(12)
Below is AcPuIrAu after structural relaxation, with properties calculated at the PBE-GGA level.

```
4
Lattice="5.1961 0.0000 0.0000 2.5981 4.5000 0.0000 2.5981 1.5000 4.2426" Properties=species:S:1:pos:R:3 pbc="T T T"
Ac 2.5981 1.5000 1.0607
Ir 5.1961 3.0000 2.1213
Au 0.0000 0.0000 0.0000
Pu 7.7942 4.5000 3.1820
```

Values from the calculation:
Space group: F-43m
DFT formation energy: -0.437 eV per atom
Electronic total energy: -8.08 eV per atom

***

(13)
Below is Ac6Ir3Rh2Au after structural relaxation, with properties calculated at the PBE-GGA level.

```
12
Lattice="4.3315 0.0000 0.0000 0.0000 8.7120 0.3533 -2.1657 -2.4655 9.0869" Properties=species:S:1:pos:R:3 pbc="T T T"
Ac 0.0000 6.3388 6.2294
Ac 2.1657 4.3107 3.2447
Ac 2.1657 -0.0922 3.2108
Ac 0.0000 2.3397 0.1200
Ac 2.1657 3.9068 9.3203
Ac 0.0000 1.9359 6.1955
Ir 2.1657 4.3560 0.1767
Ir 2.1657 -0.2568 6.2273
Ir 0.0000 6.5033 3.2129
Rh 2.1657 4.1722 6.3252
Rh 0.0000 2.0743 3.1150
Au 2.1657 0.0000 0.0000
```

Values from the calculation:
Space group: C2/m
DFT formation energy: -0.590 eV per atom
Electronic total energy: -6.36 eV per atom

***

(14)
Below is Ac4Ir2RhAu after structural relaxation, with properties calculated at the PBE-GGA level.

```
16
Lattice="4.4125 0.0000 0.0000 -2.2063 7.4773 0.0000 0.0000 0.0000 14.3249" Properties=species:S:1:pos:R:3 pbc="T T T"
Ac 0.0000 3.9652 1.5639
Ac 2.2063 3.5121 8.7263
Ac 2.2063 3.5121 12.7610
Ac 0.0000 3.9652 5.5986
Ac 0.0000 0.0000 7.1624
Ac 0.0000 0.0000 0.0000
Ac 0.0000 7.2098 10.7436
Ac 2.2063 0.2675 3.5812
Ir 0.0000 5.5272 8.2187
Ir 2.2063 1.9501 1.0563
Ir 2.2063 1.9501 6.1061
Ir 0.0000 5.5272 13.2685
Rh 2.2063 5.5379 10.7436
Rh 0.0000 1.9395 3.5812
Au 0.0000 2.0385 10.7436
Au 2.2063 5.4388 3.5812
```

Values from the calculation:
Space group: Cmcm
DFT formation energy: -0.534 eV per atom
Electronic total energy: -6.13 eV per atom

***

(15)
Below is Ac4IrRhAu2 after structural relaxation, with properties calculated at the PBE-GGA level.

```
8
Lattice="4.3623 0.0000 0.0000 0.0000 7.5999 0.1350 0.0000 -2.6566 7.4307" Properties=species:S:1:pos:R:3 pbc="T T T"
Ac 2.1811 1.2249 1.6663
Ac 2.1811 3.7184 5.8994
Ac 0.0000 -0.1071 5.8280
Ac 0.0000 5.0504 1.7377
Ir 0.0000 0.0000 0.0000
Rh 2.1811 3.7999 0.0675
Au 2.1811 -1.3283 3.7154
Au 0.0000 2.4716 3.7829
```

Values from the calculation:
Space group: P2/m
DFT formation energy: -0.766 eV per atom
Electronic total energy: -5.67 eV per atom

***

(16)
Below is Ac6Ir2Rh3Au after structural relaxation, with properties calculated at the PBE-GGA level.

```
12
Lattice="-0.6217 -3.5768 2.3413 7.3831 -3.3723 -3.1914 3.2260 6.3290 6.5404" Properties=species:S:1:pos:R:3 pbc="T T T"
Ac 8.6055 -0.1070 2.1218
Ac 4.9648 -2.2161 1.9183
Ac 1.3818 -0.5131 3.5685
Ac 1.9953 -0.8849 -0.8221
Ac 7.9921 0.2648 6.5123
Ac 5.0226 1.5959 3.7719
Ir 6.6056 -1.0033 4.2069
Ir 3.3817 0.3831 1.4834
Rh 3.3807 -3.4746 -0.4251
Rh 2.8911 0.7495 5.8983
Rh 7.0962 -1.3697 -0.2081
Au -0.3109 -1.7884 1.1706
```

Values from the calculation:
Space group: C2/m
DFT formation energy: -0.600 eV per atom
Electronic total energy: -6.24 eV per atom

***

(17)
Below is Ac6IrRh2Au after structural relaxation, with properties calculated at the PBE-GGA level.

```
10
Lattice="-3.0600 4.0406 5.6626 -7.3584 -0.8266 1.6958 -1.8611 -4.0457 6.9748" Properties=species:S:1:pos:R:3 pbc="T T T"
Ac -4.1049 1.2064 5.4635
Ac -7.9566 -0.7199 4.6607
Ac -7.6012 2.2335 7.8778
Ac -8.0208 -2.0878 8.7334
Ac -4.5200 -0.1890 9.6371
Ac -4.6416 -2.9093 6.5995
Ir -3.4420 0.9638 2.5473
Rh -6.1765 -0.2986 7.0620
Rh -1.8695 -4.0145 6.9463
Au -9.5671 0.5078 9.7543
```

Values from the calculation:
Space group: P1
DFT formation energy: -0.619 eV per atom
Electronic total energy: -5.77 eV per atom

***

(18)
Below is Ac5IrRh2Au after structural relaxation, with properties calculated at the PBE-GGA level.

```
18
Lattice="4.4161 0.0000 0.0000 -2.2080 9.0032 0.0000 0.0000 0.0000 14.6009" Properties=species:S:1:pos:R:3 pbc="T T T"
Ac 0.0000 8.0504 0.5684
Ac 2.2080 5.0045 13.5351
Ac 0.0000 7.7362 11.1690
Ac 0.0000 3.3034 10.3806
Ac 2.2080 6.7479 7.8940
Ac 2.2080 0.9527 7.8688
Ac 0.0000 3.9987 6.2346
Ac 2.2080 1.2670 3.8685
Ac 2.2080 5.6998 3.0801
Ac 0.0000 2.2553 0.5935
Ir 2.2080 3.8559 8.2933
Ir 0.0000 5.1473 0.9928
Rh 2.2080 5.5862 10.7086
Rh 0.0000 0.0880 9.5972
Rh 0.0000 3.4170 3.4081
Rh 2.2080 8.9152 2.2968
Au 2.2080 1.7027 12.8893
Au 0.0000 7.3004 5.5888
```

Values from the calculation:
Space group: Cmc2_1
DFT formation energy: -0.601 eV per atom
Electronic total energy: -5.87 eV per atom

***

(19)
Below is Ac6IrRuAu2 after structural relaxation, with properties calculated at the PBE-GGA level.

```
10
Lattice="7.8027 -0.0006 0.0006 3.9008 6.7598 -0.0001 3.9012 2.2529 6.8837" Properties=species:S:1:pos:R:3 pbc="T T T"
Ac 6.3740 1.9442 1.7787
Ac 6.3004 7.0261 1.7803
Ac 10.7347 4.5478 1.7798
Ac 9.2114 6.4292 5.2485
Ac 8.7625 2.3235 5.2472
Ac 5.4319 4.7671 5.2485
Ir 11.7030 6.7593 3.6199
Ru 3.9017 2.2520 0.2591
Au 7.8014 4.5064 3.0743
Au 3.9019 2.2520 6.4894
```

Values from the calculation:
Space group: R3
DFT formation energy: -0.508 eV per atom
Electronic total energy: -5.44 eV per atom

***

(20)
Below is Ac6IrRu2Au after structural relaxation, with properties calculated at the PBE-GGA level.

```
10
Lattice="7.5547 0.0069 0.0018 3.7833 6.5377 -0.0006 3.7804 2.1802 6.9372" Properties=species:S:1:pos:R:3 pbc="T T T"
Ac 6.3279 2.2314 1.6803
Ac 6.3227 6.4910 1.6831
Ac 10.0224 4.3749 1.6821
Ac 8.6117 6.5083 5.2573
Ac 8.9010 2.3779 5.2570
Ac 5.1741 4.1924 5.2549
Ir 3.7785 2.1789 0.0941
Ru 7.5572 4.3635 3.3690
Ru 3.7824 2.1790 6.9196
Au 11.3351 6.5451 3.5996
```

Values from the calculation:
Space group: P1
DFT formation energy: -0.379 eV per atom
Electronic total energy: -5.91 eV per atom